[1]
DyTh2RuN4: relaxed, GGA-PBE.

Summary:
magnetic moment: 0.00 μB per cell
symmetry: Cmcm, No. 63
crystal system: orthorhombic
formation energy without anion corrections: -1.06 eV per atom

Cell: 3.450 6.249 11.896 Å, 90.00 90.00 106.03°
Positions (direct):
Dy1 0.116 0.232 0.750
Dy2 0.884 0.768 0.250
Th1 0.631 0.262 0.055
Th2 0.631 0.262 0.445
Th3 0.369 0.738 0.945
Th4 0.369 0.738 0.555
Ru1 0.853 0.707 0.750
Ru2 0.147 0.293 0.250
N1 0.536 0.072 0.250
N2 0.464 0.928 0.750
N3 0.278 0.556 0.371
N4 0.000 0.000 0.500
N5 0.722 0.444 0.871
N6 0.000 0.000 0.000
N7 0.722 0.444 0.629
N8 0.278 0.556 0.129

[2]
Mg2SiTcF: relaxed, GGA-PBE.

Summary:
magnetic moment: 0.02 μB per cell
symmetry: P4/mmm, No. 123
crystal system: tetragonal
formation energy without anion corrections: 0.32 eV per atom
energy above the lowest structure with this stoichiometry: 0.205 eV/atom

Cell: 5.175 3.873 5.175 Å, 90.00 90.00 90.00°
Positions (direct):
F1 0.000 0.500 0.000
Mg1 0.500 0.000 0.000
Mg2 0.000 0.000 0.500
Si1 0.500 0.500 0.500
Tc1 0.000 0.000 0.000